No. 1
Crystalline Mg2AlNi3 at its relaxed geometry, computed with PBE-GGA.

Lattice parameters (Å, degrees): 5.018 5.018 7.571 90.00 90.00 120.00
Positions (direct):
1 Ni 0.828 0.172 0.750
2 Ni 0.345 0.172 0.750
3 Ni 0.172 0.345 0.250
4 Ni 0.655 0.828 0.250
5 Ni 0.172 0.828 0.250
6 Ni 0.828 0.655 0.750
7 Mg 0.667 0.333 0.066
8 Mg 0.333 0.667 0.566
9 Mg 0.667 0.333 0.434
10 Mg 0.333 0.667 0.934
11 Al 0.000 0.000 0.500
12 Al 0.000 0.000 0.000

E in eV/cell: -51.74
Calculated volume in Å³/cell: 165.1
Space-group type: P6_3/mmc

No. 2
Crystalline SmMgO3 at its relaxed geometry, computed with PBE-GGA.

Lattice parameters (Å, degrees): 5.790 5.593 8.368 90.00 90.00 90.00
Site moments in Bohr magnetons follow the coordinates.
Positions (direct):
1 O 0.869 0.626 0.750  0.01
2 O 0.369 0.874 0.250  0.01
3 O 0.376 0.612 0.928  0.41
4 O 0.624 0.388 0.428  0.41
5 O 0.376 0.612 0.572  0.41
6 O 0.631 0.126 0.750  0.01
7 O 0.124 0.112 0.928  0.41
8 O 0.876 0.888 0.428  0.41
9 O 0.624 0.388 0.072  0.41
10 O 0.876 0.888 0.072  0.41
11 O 0.131 0.374 0.250  0.01
12 O 0.124 0.112 0.572  0.41
13 Mg 0.443 0.525 0.250  0.00
14 Mg 0.057 0.025 0.250  0.00
15 Mg 0.943 0.975 0.750  0.00
16 Mg 0.557 0.475 0.750  0.00
17 Sm 0.000 0.500 0.000  0.00
18 Sm 0.000 0.500 0.500  0.00
19 Sm 0.500 0.000 0.500  0.00
20 Sm 0.500 0.000 0.000  0.00

E in eV/cell: -135.42
Calculated volume in Å³/cell: 271.0
Space-group type: Pnma

No. 3
Crystalline LiTbTeO at its relaxed geometry, computed with PBE-GGA.

Lattice parameters (Å, degrees): 4.054 4.054 9.387 90.00 90.00 90.00
Positions (direct):
1 Tb 0.750 0.750 0.888
2 Tb 0.250 0.250 0.112
3 Te 0.250 0.250 0.690
4 Te 0.750 0.750 0.310
5 Li 0.250 0.750 0.500
6 Li 0.750 0.250 0.500
7 O 0.750 0.250 0.000
8 O 0.250 0.750 0.000

Energy above the most stable polymorph in this dataset in meV/atom: 0
E in eV/cell: -46.90
Calculated volume in Å³/cell: 154.3
Space-group type: P4/nmm

No. 4
Crystalline HfGa4Co at its relaxed geometry, computed with PBE-GGA.

Lattice parameters (Å, degrees): 4.091 4.091 6.405 90.00 90.00 90.00
Positions (direct):
1 Co 0.000 0.000 0.500
2 Hf 0.000 0.000 0.000
3 Ga 0.000 0.500 0.293
4 Ga 0.500 0.000 0.707
5 Ga 0.500 0.000 0.293
6 Ga 0.000 0.500 0.707

E in eV/cell: -30.66
Calculated volume in Å³/cell: 107.2
Space-group type: P4/mmm

No. 5
Crystalline Sm2PdO4 at its relaxed geometry, computed with PBE-GGA.

Lattice parameters (Å, degrees): 5.631 5.658 12.210 90.00 90.00 90.00
Positions (direct):
1 O 0.813 0.812 0.490
2 O 0.313 0.688 0.510
3 O 0.687 0.188 0.990
4 O 0.187 0.188 0.510
5 O 0.258 0.289 0.256
6 O 0.187 0.312 0.010
7 O 0.758 0.289 0.244
8 O 0.758 0.211 0.744
9 O 0.742 0.711 0.744
10 O 0.258 0.211 0.756
11 O 0.242 0.711 0.756
12 O 0.813 0.688 0.990
13 O 0.687 0.312 0.490
14 O 0.313 0.812 0.010
15 O 0.742 0.789 0.244
16 O 0.242 0.789 0.256
17 Sm 0.991 0.039 0.343
18 Sm 0.009 0.961 0.657
19 Sm 0.991 0.461 0.843
20 Sm 0.009 0.539 0.157
21 Sm 0.491 0.461 0.657
22 Sm 0.491 0.039 0.157
23 Sm 0.509 0.539 0.343
24 Sm 0.509 0.961 0.843
25 Pd 0.000 0.000 0.000
26 Pd 0.500 0.500 0.000
27 Pd 0.500 0.000 0.500
28 Pd 0.000 0.500 0.500

Energy above the most stable polymorph in this dataset in meV/atom: 0
E in eV/cell: -210.01
Calculated volume in Å³/cell: 389.0
Space-group type: Pbca

No. 6
Crystalline HfPaRe at its relaxed geometry, computed with PBE-GGA.

Lattice parameters (Å, degrees): 4.580 4.580 4.580 60.00 60.00 60.00
Positions (direct):
1 Re 0.750 0.750 0.750
2 Hf 0.250 0.250 0.250
3 Pa 0.000 0.000 0.000

Formation energy in eV per atom: 0.94
Energy above the most stable polymorph in this dataset in meV/atom: 279
E in eV/cell: -29.06
Calculated volume in Å³/cell: 67.9
Space-group type: F-43m

Which value of E does entry 2 give? -135.42 eV/cell

The highest E belongs to which entry? HfPaRe

Look up the calculated volume of the second one. 271.0 Å³/cell

Which value of calculated volume does entry 1 give? 165.1 Å³/cell